Record 1
A relaxed PaAlGeSe crystal. Source: Alexandria, functional PBE.

abc: 4.464 4.464 8.481
angles: 90.00 90.00 90.00
Fractional coordinates of all 8 atoms:
Pa (0.250, 0.250, 0.221)
Pa (0.750, 0.750, 0.779)
Al (0.250, 0.750, 0.500)
Al (0.750, 0.250, 0.500)
Ge (0.250, 0.250, 0.666)
Ge (0.750, 0.750, 0.334)
Se (0.250, 0.750, 0.000)
Se (0.750, 0.250, 0.000)

## Properties
- M_tot: 0.83 μB/f.u.
- Formation energy without anion corrections: -0.535 eV/atom
- Volume: 169 Å³/cell
- Crystal system: tetragonal


Record 2
A relaxed HoAgHg6 crystal. Source: Alexandria, functional PBE.

abc: 8.575 8.575 8.575
angles: 42.03 42.03 42.03
Fractional coordinates of all 8 atoms:
Ho (0.000, 0.000, 0.000)
Ag (0.500, 0.500, 0.500)
Hg (0.069, 0.069, 0.556)
Hg (0.069, 0.556, 0.069)
Hg (0.444, 0.931, 0.931)
Hg (0.556, 0.069, 0.069)
Hg (0.931, 0.444, 0.931)
Hg (0.931, 0.931, 0.444)

## Properties
- ΔE_f: 149 meV/atom
- M_tot: 0.00 μB/f.u.
- Energy above the lowest structure with this stoichiometry: 2.027 eV/f.u.
- Volume: 256 Å³/cell
- Crystal system: trigonal


Record 3
A relaxed YMgMo2 crystal. Source: Alexandria, functional PBE.

abc: 6.731 6.731 6.731
angles: 90.00 90.00 90.00
Fractional coordinates of all 16 atoms:
Y (0.000, 0.000, 0.000)
Y (0.000, 0.500, 0.500)
Y (0.500, 0.000, 0.500)
Y (0.500, 0.500, 0.000)
Mg (0.250, 0.250, 0.750)
Mg (0.250, 0.750, 0.250)
Mg (0.750, 0.250, 0.250)
Mg (0.750, 0.750, 0.750)
Mo (0.000, 0.000, 0.500)
Mo (0.000, 0.500, 0.000)
Mo (0.250, 0.250, 0.250)
Mo (0.250, 0.750, 0.750)
Mo (0.500, 0.000, 0.000)
Mo (0.500, 0.500, 0.500)
Mo (0.750, 0.250, 0.750)
Mo (0.750, 0.750, 0.250)

## Properties
- ΔE_f: 340 meV/atom
- M_tot: 0.00 μB/f.u.
- Volume: 305 Å³/cell
- Crystal system: cubic


Record 4
A relaxed AcTlBiO6 crystal. Source: Alexandria, functional PBE.

abc: 5.283 5.283 10.875
angles: 90.00 90.00 90.00
Fractional coordinates of all 18 atoms:
Ac (0.000, 0.000, 0.000)
Ac (0.500, 0.500, 0.500)
Tl (0.000, 0.000, 0.669)
Tl (0.500, 0.500, 0.169)
Bi (0.000, 0.000, 0.335)
Bi (0.500, 0.500, 0.835)
O (0.177, 0.177, 0.493)
O (0.197, 0.197, 0.189)
O (0.214, 0.214, 0.825)
O (0.286, 0.714, 0.325)
O (0.303, 0.697, 0.689)
O (0.323, 0.677, 0.993)
O (0.677, 0.323, 0.993)
O (0.697, 0.303, 0.689)
O (0.714, 0.286, 0.325)
O (0.786, 0.786, 0.825)
O (0.803, 0.803, 0.189)
O (0.823, 0.823, 0.493)

## Properties
- M_tot: 1.07 μB/f.u.
- Formation energy without anion corrections: -1.289 eV/atom
- Volume: 304 Å³/cell
- Crystal system: tetragonal